Here is a relaxed structure of SmU2MnN4 from the Alexandria database. Energies are from GGA-PBE.

Summary:
Calculated total energy = -9.906 eV/atom
SG = No. 63
E_form (uncorrected) = -9.48 eV/f.u.

Geometry as POSCAR:
```
SmU2MnN4
1.0
-3.1339 0.1741 1.1458
-0.4115 -0.0511 -5.9899
-0.5750 -11.2428 0.1354
Sm U Mn N
2 4 2 8
Direct
0.1027 0.2053 0.7500
0.8973 0.7947 0.2500
0.3676 0.7351 0.5575
0.6324 0.2649 0.0575
0.6324 0.2649 0.4425
0.3676 0.7351 0.9425
0.8394 0.6789 0.7500
0.1606 0.3211 0.2500
0.2720 0.5439 0.1176
0.7280 0.4561 0.6176
0.7280 0.4561 0.8824
0.2720 0.5439 0.3824
0.0000 0.0000 0.5000
0.0000 0.0000 0.0000
0.4425 0.8849 0.7500
0.5575 0.1151 0.2500
```